Material: Cu2TcRu
Method: DFT, PBE
State: optimized geometry

Calculated values
Density of states at the Fermi level   0.905 states/eV/atom
Total magnetic moment   0.0 μB/f.u.
VASP energy   -6.831 eV/atom
ΔE_f   0.127 eV/atom

```
data_Cu2TcRu
_chemical_formula_sum 'Cu6 Tc3 Ru3'
_symmetry_space_group_name_H-M 'R 3 m'
_symmetry_Int_Tables_number 160
_symmetry_space_group_name_Hall 'R 3 -2"'
_cell_length_a 2.6983
_cell_length_b 2.6983
_cell_length_c 25.5984
_cell_angle_alpha 90.00
_cell_angle_beta 90.00
_cell_angle_gamma 120.00
loop_
_atom_site_label
_atom_site_fract_x
_atom_site_fract_y
_atom_site_fract_z
Cu1 0.0000 0.0000 0.0000
Cu2 0.0000 0.0000 0.2552
Tc1 0.0000 0.0000 0.5019
Ru1 0.0000 0.0000 0.7532
```